# Sr2Ca3Cd3 (PBE, relaxed)
data_Sr2Ca3Cd3
_cell_length_a 3.981
_cell_length_b 5.369
_cell_length_c 26.767
_cell_angle_alpha 90.00
_cell_angle_beta 90.00
_cell_angle_gamma 90.00
_space_group_name_H-M_alt 'I m m m'
_space_group_IT_number 71
_space_group_name_Hall '-I 2 2'
loop_
_atom_site_label
_atom_site_type_symbol
_atom_site_fract_x
_atom_site_fract_y
_atom_site_fract_z
Sr1 Sr 0.000 0.000 0.203
Ca1 Ca 0.000 0.000 0.000
Ca2 Ca 0.000 0.500 0.099
Cd1 Cd 0.000 0.000 0.500
Cd2 Cd 0.000 0.500 0.402
# Magnetization (μB/f.u.): 0.000
# ρ (Mg/m³): 3.7
# Calculated total energy (eV/atom): -1.722

# SrCaCd4 (PBE, relaxed)
data_SrCaCd4
_cell_length_a 5.057
_cell_length_b 7.796
_cell_length_c 8.585
_cell_angle_alpha 90.00
_cell_angle_beta 90.00
_cell_angle_gamma 90.00
_space_group_name_H-M_alt 'I m m 2'
_space_group_IT_number 44
loop_
_space_group_symop_operation_xyz
'x,y,z'
'-x,-y,z'
'-x,y,z'
'x,-y,z'
'x+1/2,y+1/2,z+1/2'
'-x+1/2,-y+1/2,z+1/2'
'-x+1/2,y+1/2,z+1/2'
'x+1/2,-y+1/2,z+1/2'
loop_
_atom_site_label
_atom_site_type_symbol
_atom_site_fract_x
_atom_site_fract_y
_atom_site_fract_z
Sr1 Sr 0.000 0.000 0.000
Ca1 Ca 0.000 0.500 0.917
Cd1 Cd 0.000 0.201 0.619
Cd2 Cd 0.000 0.298 0.291
# Magnetization (μB/f.u.): 0.000
# ρ (Mg/m³): 5.7
# Calculated total energy (eV/atom): -1.559

# Sr2CaCd (PBE, relaxed)
data_Sr2CaCd
_cell_length_a 8.478
_cell_length_b 8.478
_cell_length_c 8.478
_cell_angle_alpha 90.00
_cell_angle_beta 90.00
_cell_angle_gamma 90.00
_space_group_name_H-M_alt 'F -4 3 m'
_space_group_IT_number 216
_space_group_name_Hall 'F -4 2 3'
loop_
_atom_site_label
_atom_site_type_symbol
_atom_site_fract_x
_atom_site_fract_y
_atom_site_fract_z
Sr1 Sr 0.000 0.000 0.000
Sr2 Sr 0.250 0.250 0.250
Ca1 Ca 0.000 0.000 0.500
Cd1 Cd 0.250 0.250 0.750
# Magnetization (μB/f.u.): 0.000
# ρ (Mg/m³): 3.6
# Calculated total energy (eV/atom): -1.608

# Sr4CaCd2 (PBE, relaxed)
data_Sr4CaCd2
_cell_length_a 5.9262
_cell_length_b 5.9262
_cell_length_c 30.9608
_cell_angle_alpha 90.00
_cell_angle_beta 90.00
_cell_angle_gamma 120.00
_space_group_name_H-M_alt 'R -3 m'
_space_group_IT_number 166
_space_group_name_Hall '-R 3 2"'
loop_
_atom_site_label
_atom_site_type_symbol
_atom_site_fract_x
_atom_site_fract_y
_atom_site_fract_z
Sr1 Sr 0.0000 0.0000 0.1085
Sr2 Sr 0.0000 0.0000 0.2914
Ca1 Ca 0.0000 0.0000 0.5000
Cd1 Cd 0.0000 0.0000 0.4014
# Magnetization (μB/f.u.): 0.000
# ρ (Mg/m³): 3.3
# Calculated total energy (eV/atom): -1.556

# Sr5CaCd3 (PBE, relaxed)
data_Sr5CaCd3
_cell_length_a 10.3312
_cell_length_b 10.3312
_cell_length_c 7.4542
_cell_angle_alpha 90.00
_cell_angle_beta 90.00
_cell_angle_gamma 120.00
_space_group_name_H-M_alt 'P 63/m c m'
_space_group_IT_number 193
_space_group_name_Hall '-P 6c 2'
loop_
_atom_site_label
_atom_site_type_symbol
_atom_site_fract_x
_atom_site_fract_y
_atom_site_fract_z
Sr1 Sr 0.0000 0.3262 0.2500
Sr2 Sr 0.3333 0.6667 0.0000
Ca1 Ca 0.0000 0.0000 0.0000
Cd1 Cd 0.0000 0.3359 0.7500
# Magnetization (μB/f.u.): 0.000
# ρ (Mg/m³): 3.9
# Calculated total energy (eV/atom): -1.635

# SrCaCd2 (PBE, relaxed)
data_SrCaCd2
_cell_length_a 4.2812
_cell_length_b 4.2812
_cell_length_c 26.8588
_cell_angle_alpha 90.00
_cell_angle_beta 90.00
_cell_angle_gamma 120.00
_space_group_name_H-M_alt 'R -3 m'
_space_group_IT_number 166
_space_group_name_Hall '-R 3 2"'
loop_
_atom_site_label
_atom_site_type_symbol
_atom_site_fract_x
_atom_site_fract_y
_atom_site_fract_z
Sr1 Sr 0.0000 0.0000 0.0000
Ca1 Ca 0.0000 0.0000 0.5000
Cd1 Cd 0.0000 0.0000 0.2453
# Magnetization (μB/f.u.): 0.000
# ρ (Mg/m³): 4.1
# Calculated total energy (eV/atom): -1.533

# SrCa2Cd (PBE, relaxed)
data_SrCa2Cd
_cell_length_a 4.0219
_cell_length_b 4.0219
_cell_length_c 34.3871
_cell_angle_alpha 90.00
_cell_angle_beta 90.00
_cell_angle_gamma 120.00
_space_group_name_H-M_alt 'R 3 m'
_space_group_IT_number 160
_space_group_name_Hall 'R 3 -2"'
loop_
_atom_site_label
_atom_site_type_symbol
_atom_site_fract_x
_atom_site_fract_y
_atom_site_fract_z
Sr1 Sr 0.0000 0.0000 0.0000
Ca1 Ca 0.0000 0.0000 0.5258
Ca2 Ca 0.0000 0.0000 0.7660
Cd1 Cd 0.0000 0.0000 0.2596
# Magnetization (μB/f.u.): 0.000
# ρ (Mg/m³): 2.9
# Calculated total energy (eV/atom): -1.716

# SrCaCd (PBE, relaxed)
data_SrCaCd
_cell_length_a 3.994
_cell_length_b 3.994
_cell_length_c 13.782
_cell_angle_alpha 90.00
_cell_angle_beta 90.00
_cell_angle_gamma 90.00
_space_group_name_H-M_alt 'I 4 m m'
_space_group_IT_number 107
_space_group_name_Hall 'I 4 -2'
loop_
_atom_site_label
_atom_site_type_symbol
_atom_site_fract_x
_atom_site_fract_y
_atom_site_fract_z
Sr1 Sr 0.000 0.000 0.000
Ca1 Ca 0.000 0.000 0.721
Cd1 Cd 0.000 0.000 0.348
# Magnetization (μB/f.u.): 0.000
# ρ (Mg/m³): 3.6
# Calculated total energy (eV/atom): -1.758

# Sr4CaCd5 (PBE, relaxed)
data_Sr4CaCd5
_cell_length_a 3.994
_cell_length_b 3.994
_cell_length_c 20.285
_cell_angle_alpha 90.00
_cell_angle_beta 90.00
_cell_angle_gamma 90.00
_space_group_name_H-M_alt 'P 4/m m m'
_space_group_IT_number 123
_space_group_name_Hall '-P 4 2'
loop_
_atom_site_label
_atom_site_type_symbol
_atom_site_fract_x
_atom_site_fract_y
_atom_site_fract_z
Sr1 Sr 0.000 0.000 0.102
Sr2 Sr 0.000 0.000 0.307
Ca1 Ca 0.000 0.000 0.500
Cd1 Cd 0.500 0.500 0.000
Cd2 Cd 0.500 0.500 0.205
Cd3 Cd 0.500 0.500 0.411
# Magnetization (μB/f.u.): 0.000
# ρ (Mg/m³): 4.9
# Calculated total energy (eV/atom): -1.664

# SrCa5Cd (PBE, relaxed)
data_SrCa5Cd
_cell_length_a 5.492
_cell_length_b 5.492
_cell_length_c 9.692
_cell_angle_alpha 90.00
_cell_angle_beta 90.00
_cell_angle_gamma 90.00
_space_group_name_H-M_alt 'P 4/m m m'
_space_group_IT_number 123
_space_group_name_Hall '-P 4 2'
loop_
_atom_site_label
_atom_site_type_symbol
_atom_site_fract_x
_atom_site_fract_y
_atom_site_fract_z
Sr1 Sr 0.000 0.000 0.000
Ca1 Ca 0.000 0.500 0.307
Ca2 Ca 0.500 0.500 0.000
Cd1 Cd 0.500 0.500 0.500
# Magnetization (μB/f.u.): 0.000
# ρ (Mg/m³): 2.3
# Calculated total energy (eV/atom): -1.822

# SrCa4Cd2 (PBE, relaxed)
data_SrCa4Cd2
_cell_length_a 5.5462
_cell_length_b 5.5462
_cell_length_c 32.3605
_cell_angle_alpha 90.00
_cell_angle_beta 90.00
_cell_angle_gamma 120.00
_space_group_name_H-M_alt 'R -3 m'
_space_group_IT_number 166
_space_group_name_Hall '-R 3 2"'
loop_
_atom_site_label
_atom_site_type_symbol
_atom_site_fract_x
_atom_site_fract_y
_atom_site_fract_z
Sr1 Sr 0.0000 0.0000 0.0000
Ca1 Ca 0.0000 0.0000 0.2005
Ca2 Ca 0.0000 0.0000 0.4115
Cd1 Cd 0.0000 0.0000 0.1018
# Magnetization (μB/f.u.): 0.000
# ρ (Mg/m³): 2.7
# Calculated total energy (eV/atom): -1.683

# Sr2CaCd (PBE, relaxed)
data_Sr2CaCd
_cell_length_a 9.919
_cell_length_b 9.919
_cell_length_c 7.177
_cell_angle_alpha 90.00
_cell_angle_beta 90.00
_cell_angle_gamma 90.00
_space_group_name_H-M_alt 'I -4 2 d'
_space_group_IT_number 122
_space_group_name_Hall 'I -4 2bw'
loop_
_atom_site_label
_atom_site_type_symbol
_atom_site_fract_x
_atom_site_fract_y
_atom_site_fract_z
Sr1 Sr 0.190 0.750 0.125
Ca1 Ca 0.000 0.000 0.500
Cd1 Cd 0.000 0.000 0.000
# Magnetization (μB/f.u.): 0.000
# ρ (Mg/m³): 3.1
# Calculated total energy (eV/atom): -1.537